1.
A plane-wave DFT calculation with PBE-GGA was carried out for an optimized crystal structure of NaAc8Tc2. Values from VASP.

Calculated values
ρ: 7.7 Mg/m³
space group: C2/m, No. 12
energy of formation from the pure elements: 12.1 kJ per mole of atoms

Quantum ESPRESSO input file:
```
&SYSTEM
  ibrav = 0, nat = 11, ntyp = 3
/
ATOMIC_SPECIES
Ac 227.00 Ac.upf
Na 22.99 Na.upf
Tc 98.00 Tc.upf
CELL_PARAMETERS angstrom
-5.524 4.053 -1.098
1.549 0.131 -7.308
-6.633 -6.143 2.303
ATOMIC_POSITIONS angstrom
Ac -4.676 0.845 -2.870
Ac -5.932 -2.803 -3.233
Ac -3.895 0.911 -6.554
Ac -1.072 -0.094 -4.048
Ac -3.008 -2.051 -0.674
Ac -7.600 0.094 -5.429
Ac -6.713 -2.869 0.451
Ac -9.536 -1.863 -2.055
Na 0.000 0.000 0.000
Tc -3.523 -1.387 -4.591
Tc -7.085 -0.571 -1.512
```

***

2.
A plane-wave DFT calculation with PBE-GGA was carried out for an optimized crystal structure of Ca2VH. Values from VASP.

Calculated values
ρ: 2.2 Mg/m³
space group: Fm-3m, No. 225
total DFT energy (no corrections): -3.326 eV per atom

Quantum ESPRESSO input file:
```
&SYSTEM
  ibrav = 0, nat = 4, ntyp = 3
/
ATOMIC_SPECIES
Ca 40.08 Ca.upf
V 50.94 V.upf
H 1.01 H.upf
CELL_PARAMETERS angstrom
2.967 1.706 3.910
-1.974 3.269 3.525
-0.897 -1.639 4.849
ATOMIC_POSITIONS angstrom
Ca 0.072 2.502 9.213
Ca 0.024 0.834 3.071
V 0.048 1.668 6.142
H 0.000 0.000 0.000
```

***

3.
A plane-wave DFT calculation with PBE-GGA was carried out for an optimized crystal structure of Be3CrP. Values from VASP.

Calculated values
ρ: 2.7 Mg/m³
space group: Pm-3m, No. 221
energy of formation from the pure elements: 141.0 kJ per mole of atoms

Quantum ESPRESSO input file:
```
&SYSTEM
  ibrav = 0, nat = 5, ntyp = 3
/
ATOMIC_SPECIES
P 30.97 P.upf
Be 9.01 Be.upf
Cr 52.00 Cr.upf
CELL_PARAMETERS angstrom
-2.368 -3.140 -1.126
3.335 -2.206 -0.862
0.054 -1.417 3.837
ATOMIC_POSITIONS angstrom
P 0.511 -3.381 0.924
Be 0.027 -0.709 1.918
Be 1.668 -1.103 -0.431
Be -1.184 -1.570 -0.563
Cr 0.000 0.000 0.000
```

***

4.
A plane-wave DFT calculation with PBE-GGA was carried out for an optimized crystal structure of MnCd2Tc. Values from VASP.

Calculated values
ρ: 9.1 Mg/m³
space group: P4/mmm, No. 123
energy of formation from the pure elements: 42.7 kJ per mole of atoms

Quantum ESPRESSO input file:
```
&SYSTEM
  ibrav = 0, nat = 4, ntyp = 3
/
ATOMIC_SPECIES
Cd 112.41 Cd.upf
Tc 98.00 Tc.upf
Mn 54.94 Mn.upf
CELL_PARAMETERS angstrom
-2.208 -0.418 1.721
1.462 -1.983 1.394
3.048 6.025 5.376
ATOMIC_POSITIONS angstrom
Cd 1.516 2.996 2.673
Cd 0.008 0.017 0.015
Tc 1.913 3.318 5.589
Mn 0.389 0.306 2.901
```

***

5.
A plane-wave DFT calculation with PBE-GGA was carried out for an optimized crystal structure of La4SiCl3. Values from VASP.

Calculated values
ρ: 5.4 Mg/m³
space group: Cmmm, No. 65
formation energy (no corrections): -1.429 eV/atom

Quantum ESPRESSO input file:
```
&SYSTEM
  ibrav = 0, nat = 8, ntyp = 3
/
ATOMIC_SPECIES
Cl 35.45 Cl.upf
La 138.91 La.upf
Si 28.09 Si.upf
CELL_PARAMETERS angstrom
4.319 0.000 0.000
0.000 7.266 -0.137
0.000 -2.421 6.853
ATOMIC_POSITIONS angstrom
Cl 2.159 2.423 3.358
Cl 0.000 -1.210 3.426
Cl 0.000 3.633 -0.068
La 2.159 -0.052 5.144
La 0.000 1.168 1.618
La 0.000 3.678 5.098
La 2.159 4.898 1.572
Si 2.159 0.000 0.000
```

***

6.
A plane-wave DFT calculation with PBE-GGA was carried out for an optimized crystal structure of Nd3Ho4Te8. Values from VASP.

Calculated values
ρ: 7.3 Mg/m³
space group: C2/m, No. 12
formation energy (no corrections): -1.382 eV/atom

Quantum ESPRESSO input file:
```
&SYSTEM
  ibrav = 0, nat = 15, ntyp = 3
/
ATOMIC_SPECIES
Te 127.60 Te.upf
Nd 144.24 Nd.upf
Ho 164.93 Ho.upf
CELL_PARAMETERS angstrom
-0.973 2.467 -8.378
-3.067 -7.805 2.659
-4.651 3.986 6.315
ATOMIC_POSITIONS angstrom
Te -5.812 -2.851 6.677
Te -6.292 -1.649 2.594
Te -4.748 2.323 1.228
Te -2.879 1.499 -6.082
Te -3.943 -3.675 -0.632
Te -4.252 1.014 5.394
Te -3.466 -4.833 3.581
Te -2.399 0.297 -1.998
Nd -2.020 -2.669 -2.860
Nd -4.345 -0.676 0.298
Nd -2.812 3.227 -1.032
Ho -1.533 -3.903 1.330
Ho -0.487 1.233 -4.189
Ho 0.000 0.000 0.000
Ho -2.325 1.993 3.158
```

***

7.
A plane-wave DFT calculation with PBE-GGA was carried out for an optimized crystal structure of ScReSi2. Values from VASP.

Calculated values
ρ: 7.9 Mg/m³
space group: I-4m2, No. 119
formation energy (no corrections): -0.148 eV/atom

Quantum ESPRESSO input file:
```
&SYSTEM
  ibrav = 0, nat = 4, ntyp = 3
/
ATOMIC_SPECIES
Re 186.21 Re.upf
Sc 44.96 Sc.upf
Si 28.09 Si.upf
CELL_PARAMETERS angstrom
-3.341 3.346 1.435
-2.559 -1.328 4.013
4.802 0.167 -1.154
ATOMIC_POSITIONS angstrom
Re -2.950 1.009 2.724
Sc -0.745 2.261 1.502
Si -0.354 -0.076 2.791
Si 0.000 0.000 0.000
```

***

8.
A plane-wave DFT calculation with PBE-GGA was carried out for an optimized crystal structure of BeTeW2. Values from VASP.

Calculated values
ρ: 11.8 Mg/m³
space group: I-42d, No. 122
formation energy (no corrections): 0.781 eV/atom

Quantum ESPRESSO input file:
```
&SYSTEM
  ibrav = 0, nat = 8, ntyp = 3
/
ATOMIC_SPECIES
W 183.84 W.upf
Be 9.01 Be.upf
Te 127.60 Te.upf
CELL_PARAMETERS angstrom
3.916 0.000 0.000
0.000 3.916 0.000
1.958 1.958 9.241
ATOMIC_POSITIONS angstrom
W 2.937 3.112 6.931
W 1.154 2.937 2.310
W 4.895 4.720 6.931
W 2.762 0.979 2.310
Be 1.958 3.916 4.620
Be 1.958 1.958 0.000
Te 0.000 0.000 0.000
Te 3.916 1.958 4.620
```

***

9.
A plane-wave DFT calculation with PBE-GGA was carried out for an optimized crystal structure of MgSn2Ge. Values from VASP.

Calculated values
ρ: 4.3 Mg/m³
space group: I-42d, No. 122
energy of formation from the pure elements: 20.9 kJ per mole of atoms

Quantum ESPRESSO input file:
```
&SYSTEM
  ibrav = 0, nat = 8, ntyp = 3
/
ATOMIC_SPECIES
Sn 118.71 Sn.upf
Ge 72.64 Ge.upf
Mg 24.30 Mg.upf
CELL_PARAMETERS angstrom
-6.246 -2.621 0.669
1.897 -3.044 5.785
-3.763 1.696 6.131
ATOMIC_POSITIONS angstrom
Sn -4.771 -1.663 2.692
Sn -6.578 -3.764 10.397
Sn -4.503 -0.773 6.867
Sn -0.373 -1.737 5.215
Ge -6.092 -1.878 5.014
Ge 0.000 0.000 0.000
Mg -2.020 -2.090 7.571
Mg -2.174 -2.832 3.227
```

***

10.
A plane-wave DFT calculation with PBE-GGA was carried out for an optimized crystal structure of Rb3Tm3NpSe8. Values from VASP.

Calculated values
ρ: 5.6 Mg/m³
space group: R-3m, No. 166
formation energy (no corrections): -1.605 eV/atom

Quantum ESPRESSO input file:
```
&SYSTEM
  ibrav = 0, nat = 15, ntyp = 4
/
ATOMIC_SPECIES
Se 78.96 Se.upf
Tm 168.93 Tm.upf
Np 237.00 Np.upf
Rb 85.47 Rb.upf
CELL_PARAMETERS angstrom
-7.184 -4.144 0.567
5.287 -1.675 -6.192
2.485 -3.137 8.556
ATOMIC_POSITIONS angstrom
Se -4.551 -4.228 2.841
Se 5.139 -4.729 0.090
Se -0.959 -2.156 2.557
Se -1.908 -5.065 -0.255
Se 1.679 -2.985 -0.546
Se -1.091 -5.971 3.477
Se 2.496 -3.891 3.186
Se 1.547 -6.801 0.374
Tm 0.294 -4.478 1.466
Tm 3.886 -2.406 1.182
Tm -2.349 -3.641 4.562
Np 1.243 -1.569 4.278
Rb 2.643 -0.838 -3.096
Rb 0.000 0.000 0.000
Rb -0.948 -2.909 -2.813
```

***

11.
A plane-wave DFT calculation with PBE-GGA was carried out for an optimized crystal structure of NbRuN3. Values from VASP.

Calculated values
ρ: 7.1 Mg/m³
space group: Pm-3m, No. 221
formation energy (no corrections): 0.972 eV/atom

Quantum ESPRESSO input file:
```
&SYSTEM
  ibrav = 0, nat = 5, ntyp = 3
/
ATOMIC_SPECIES
N 14.01 N.upf
Ru 101.07 Ru.upf
Nb 92.91 Nb.upf
CELL_PARAMETERS angstrom
-1.225 -3.562 0.579
2.576 -0.435 2.774
-2.527 1.283 2.548
ATOMIC_POSITIONS angstrom
N -0.613 -1.781 0.290
N 1.288 -0.217 1.387
N -1.264 0.642 1.274
Ru 0.000 0.000 0.000
Nb -0.588 -1.357 2.951
```

***

12.
A plane-wave DFT calculation with PBE-GGA was carried out for an optimized crystal structure of Sc6Fe2Bi. Values from VASP.

Calculated values
ρ: 5.2 Mg/m³
space group: Immm, No. 71
energy of formation from the pure elements: -26.6 kJ per mole of atoms

Quantum ESPRESSO input file:
```
&SYSTEM
  ibrav = 0, nat = 18, ntyp = 3
/
ATOMIC_SPECIES
Sc 44.96 Sc.upf
Fe 55.84 Fe.upf
Bi 208.98 Bi.upf
CELL_PARAMETERS angstrom
7.426 0.460 -2.615
-4.034 6.458 -2.053
-0.192 -0.460 7.871
ATOMIC_POSITIONS angstrom
Sc -1.884 6.209 2.594
Sc 3.793 4.942 -2.339
Sc -1.582 4.589 5.652
Sc -0.298 3.958 0.410
Sc 2.540 5.050 0.636
Sc 0.660 1.408 2.567
Sc -0.593 1.516 5.542
Sc 2.339 1.977 -0.338
Sc 5.084 0.249 0.609
Sc 0.860 4.482 3.541
Sc 4.781 1.869 -2.449
Sc 3.497 2.500 2.792
Fe 1.214 4.142 -1.671
Fe 2.736 0.000 1.988
Fe 4.497 0.000 3.267
Fe 1.985 2.316 4.874
Bi -2.113 2.999 2.909
Bi 0.000 0.000 0.000
```

***

Values for total moment, Bohr magnetons per cell, ordered as above
0.0, 4.5, 0.0, 4.3, 0.0, 0.0, 0.0, 0.0, 0.0, 3.0, 0.0, 0.0